1.
An optimized crystal structure of LaInP2, computed with PBE-GGA.

a = 6.1273 Å, b = 6.1273 Å, c = 6.1273 Å
α = 141.29°, β = 140.38°, γ = 56.60°
With the nearest neighbours (Å) after each atom.
Sites, in units of the cell vectors:
P (0.9939, 0.9939, 0.0000)  4 In 2.91
P (0.7432, 0.2432, 0.5000)  4 La 2.91, 2 In 3.25
In (0.5085, 0.5085, 0.0000)  6 P 2.91-3.25
La (0.2544, 0.7544, 0.5000)  4 P 2.91

**Energy relative to the elements**: -2.01 eV per formula unit
**Volume**: 91.02 Å³/f.u.
**Magnetic moment**: 0.0000 μB/atom



2.
An optimized crystal structure of LaIn3P, computed with PBE-GGA.

a = 5.2239 Å, b = 5.2239 Å, c = 5.2239 Å
α = 90.00°, β = 90.00°, γ = 90.00°
With the nearest neighbours (Å) after each atom.
Sites, in units of the cell vectors:
In (0.5000, 0.0000, 0.0000)  2 P 2.61
In (0.0000, 0.5000, 0.0000)  2 P 2.61
In (0.0000, 0.0000, 0.5000)  2 P 2.61
La (0.5000, 0.5000, 0.5000)  12 In 3.69
P (0.0000, 0.0000, 0.0000)  6 In 2.61

**Relative energy among the computed polymorphs**: 0.0 meV per atom
**Energy relative to the elements**: 0.40 eV per formula unit
**Volume**: 142.56 Å³/f.u.
**Magnetic moment**: 0.0000 μB/atom



3.
An optimized crystal structure of LaInP2, computed with PBE-GGA.

a = 5.0478 Å, b = 5.0478 Å, c = 5.0478 Å
α = 60.00°, β = 60.00°, γ = 60.00°
With the nearest neighbours (Å) after each atom.
Sites, in units of the cell vectors:
In (0.5000, 0.5000, 0.5000)  4 La 3.09, 4 P 3.09
P (0.7500, 0.7500, 0.7500)  4 P 3.09, 4 In 3.09
P (0.0000, 0.0000, 0.0000)  4 La 3.09, 4 P 3.09
La (0.2500, 0.2500, 0.2500)  4 In 3.09, 4 P 3.09

**Energy relative to the elements**: -0.30 eV per formula unit
**Volume**: 90.95 Å³/f.u.
**Magnetic moment**: 0.0000 μB/atom



4.
An optimized crystal structure of La5In2P, computed with PBE-GGA.

a = 8.2895 Å, b = 9.6294 Å, c = 12.7875 Å
α = 90.00°, β = 90.00°, γ = 90.00°
With the nearest neighbours (Å) after each atom.
Sites, in units of the cell vectors:
La (0.1786, 0.5463, 0.0656)  2 P 3.04-3.05
La (0.1382, 0.7500, 0.7973)  1 P 2.93
La (0.6382, 0.2500, 0.7027)  1 P 2.93
La (0.8214, 0.4537, 0.9344)  2 P 3.04-3.05
La (0.3214, 0.5463, 0.5656)  2 P 3.04-3.05
La (0.0609, 0.2500, 0.4964)  1 P 3.07, 4 In 3.31-3.38
La (0.1786, 0.9537, 0.0656)  2 P 3.04-3.05
La (0.6786, 0.4537, 0.4344)  2 P 3.04-3.05
La (0.9391, 0.7500, 0.5036)  1 P 3.07, 4 In 3.31-3.38
La (0.5609, 0.7500, 0.0036)  1 P 3.07, 4 In 3.31-3.38
La (0.3318, 0.2500, 0.2931)  1 P 2.98
La (0.3618, 0.7500, 0.2973)  1 P 2.93
La (0.6682, 0.7500, 0.7069)  1 P 2.98
La (0.8618, 0.2500, 0.2027)  1 P 2.93
La (0.4391, 0.2500, 0.9964)  1 P 3.07, 4 In 3.31-3.38
La (0.6786, 0.0463, 0.4344)  2 P 3.04-3.05
La (0.1682, 0.2500, 0.7931)  1 P 2.98
La (0.8318, 0.7500, 0.2069)  1 P 2.98
La (0.3214, 0.9537, 0.5656)  2 P 3.04-3.05
La (0.8214, 0.0463, 0.9344)  2 P 3.04-3.05
In (0.0649, 0.5111, 0.3285)  8 La 3.31-3.52
In (0.9351, 0.0111, 0.6715)  8 La 3.31-3.52
In (0.5649, 0.4889, 0.1715)  8 La 3.31-3.52
In (0.0649, 0.9889, 0.3285)  8 La 3.31-3.52
In (0.5649, 0.0111, 0.1715)  8 La 3.31-3.52
In (0.4351, 0.9889, 0.8285)  8 La 3.31-3.52
In (0.4351, 0.5111, 0.8285)  8 La 3.31-3.52
In (0.9351, 0.4889, 0.6715)  8 La 3.31-3.52
P (0.9295, 0.7500, 0.9825)  7 La 2.93-3.07
P (0.0705, 0.2500, 0.0175)  7 La 2.93-3.07
P (0.5705, 0.7500, 0.4825)  7 La 2.93-3.07
P (0.4295, 0.2500, 0.5175)  7 La 2.93-3.07

**Energy relative to the elements**: -5.08 eV per formula unit
**Volume**: 255.18 Å³/f.u.
**Magnetic moment**: 0.1720 μB/atom



5.
An optimized crystal structure of LaInP2, computed with PBE-GGA.

a = 7.1690 Å, b = 7.1690 Å, c = 6.4926 Å
α = 56.49°, β = 56.49°, γ = 90.00°
With the nearest neighbours (Å) after each atom.
Sites, in units of the cell vectors:
La (0.0000, 0.0000, 0.0000)  4 P 2.92
La (0.7500, 0.2500, 0.5000)  4 P 2.92
In (0.2500, 0.7500, 0.5000)  4 P 2.56
In (0.5000, 0.5000, 0.0000)  4 P 2.56
P (0.8750, 0.8364, 0.7500)  2 In 2.56
P (0.3750, 0.4136, 0.7500)  2 In 2.56
P (0.1636, 0.6250, 0.2500)  2 In 2.56
P (0.5864, 0.1250, 0.2500)  2 In 2.56

**Energy relative to the elements**: -2.61 eV per formula unit
**Volume**: 104.25 Å³/f.u.
**Magnetic moment**: 0.0000 μB/atom



6.
An optimized crystal structure of LaInP2, computed with PBE-GGA.

a = 4.1500 Å, b = 4.1500 Å, c = 5.8761 Å
α = 90.00°, β = 90.00°, γ = 90.00°
With the nearest neighbours (Å) after each atom.
Sites, in units of the cell vectors:
La (0.5000, 0.5000, 0.8760)  6 P 2.93-2.94
In (0.0000, 0.0000, 0.3744)  6 P 2.93-2.94
P (0.5000, 0.5000, 0.3756)  4 In 2.93, 2 La 2.94
P (0.0000, 0.0000, 0.8739)  4 La 2.93, 2 In 2.94

**Energy relative to the elements**: -2.55 eV per formula unit
**Volume**: 101.20 Å³/f.u.
**Magnetic moment**: 0.0000 μB/atom



7.
An optimized crystal structure of LaIn4P, computed with PBE-GGA.

a = 6.0743 Å, b = 6.0743 Å, c = 6.0743 Å
α = 60.00°, β = 60.00°, γ = 60.00°
With the nearest neighbours (Å) after each atom.
Sites, in units of the cell vectors:
In (0.3745, 0.8765, 0.3745)  6 In 3.02-3.05
In (0.3745, 0.3745, 0.3745)  6 In 3.02-3.05
In (0.3745, 0.3745, 0.8765)  6 In 3.02-3.05
In (0.8765, 0.3745, 0.3745)  6 In 3.02-3.05
La (0.7500, 0.7500, 0.7500)  12 In 3.56, 4 P 3.72
P (0.0000, 0.0000, 0.0000)  12 In 3.56, 4 La 3.72

**Energy relative to the elements**: 0.26 eV per formula unit
**Volume**: 158.48 Å³/f.u.
**Magnetic moment**: 0.0000 μB/atom



8.
An optimized crystal structure of LaInP2, computed with PBE-GGA.

a = 4.0163 Å, b = 4.0163 Å, c = 6.4628 Å
α = 90.00°, β = 90.00°, γ = 89.99°
With the nearest neighbours (Å) after each atom.
Sites, in units of the cell vectors:
P (0.0000, 0.0000, 0.5756)  1 P 2.25
P (0.0000, 0.0000, 0.9244)  1 P 2.25
La (0.5000, 0.5000, 0.7500)  8 P 3.06, 2 In 3.23
In (0.5000, 0.5000, 0.2500)  2 La 3.23, 8 P 3.53

**Energy relative to the elements**: -2.30 eV per formula unit
**Volume**: 104.25 Å³/f.u.
**Magnetic moment**: 0.0019 μB/atom